Computed, not measured: a geometry-optimized PmFeClF4 structure at the PBE with a Hubbard U level of DFT.

a b c (Å): 12.5762 5.4645 7.7791
angles (deg): 90.00 106.46 90.00
Space group C2/m (No. 12)
Asymmetric unit:
1 Pm 0.1638 0.0000 0.3326 (multiplicity 4)
2 Fe 0.1866 0.0000 0.8086 (multiplicity 4)
3 Cl 0.1161 0.5000 0.1831 (multiplicity 4)
4 F 0.0192 0.0000 0.7624 (multiplicity 4)
5 F 0.1737 0.2411 0.5908 (multiplicity 8)
6 F 0.2186 0.0000 0.0742 (multiplicity 4)

Computed properties:
N(E_F): 0.0 states/eV/f.u.
Total DFT energy (no corrections): -5.840 eV/atom